# La2ScCuPt (PBE-GGA, optimized geometry)
data_La2ScCuPt
_chemical_formula_sum 'La2 Sc1 Cu1 Pt1'
_symmetry_space_group_name_H-M 'P 4/m m m'
_symmetry_Int_Tables_number 123
_symmetry_space_group_name_Hall '-P 4 2'
_cell_length_a 5.5740
_cell_length_b 5.5740
_cell_length_c 4.9079
_cell_angle_alpha 90.00
_cell_angle_beta 90.00
_cell_angle_gamma 90.00
loop_
_atom_site_label
_atom_site_type_symbol
_atom_site_fract_x
_atom_site_fract_y
_atom_site_fract_z
La1 La 0.0000 0.5000 0.0000
Sc1 Sc 0.0000 0.0000 0.5000
Cu1 Cu 0.5000 0.5000 0.5000
Pt1 Pt 0.5000 0.5000 0.0000
# E   -5.31 eV per atom
# Energy of formation from the pure elements   -4.3 kJ/mol of atoms

# LiInPdW2 (PBE-GGA, optimized geometry)
data_LiInPdW2
_chemical_formula_sum 'Li1 In1 Pd1 W2'
_symmetry_space_group_name_H-M 'P 4/m m m'
_symmetry_Int_Tables_number 123
_symmetry_space_group_name_Hall '-P 4 2'
_cell_length_a 4.8276
_cell_length_b 4.8276
_cell_length_c 4.3088
_cell_angle_alpha 90.00
_cell_angle_beta 90.00
_cell_angle_gamma 90.00
loop_
_atom_site_label
_atom_site_type_symbol
_atom_site_fract_x
_atom_site_fract_y
_atom_site_fract_z
Li1 Li 0.0000 0.0000 0.0000
In1 In 0.5000 0.5000 0.0000
Pd1 Pd 0.0000 0.0000 0.5000
W1 W 0.0000 0.5000 0.5000
# E   -5.74 eV per atom
# Energy of formation from the pure elements   136.0 kJ/mol of atoms

# Tb2NbGe3Pt4 (PBE-GGA, optimized geometry)
data_Tb2NbGe3Pt4
_chemical_formula_sum 'Tb2 Nb1 Ge3 Pt4'
_symmetry_space_group_name_H-M 'P -4 m 2'
_symmetry_Int_Tables_number 115
_symmetry_space_group_name_Hall 'P -4 -2'
_cell_length_a 4.1893
_cell_length_b 4.1893
_cell_length_c 10.9041
_cell_angle_alpha 90.00
_cell_angle_beta 90.00
_cell_angle_gamma 90.00
loop_
_atom_site_label
_atom_site_type_symbol
_atom_site_fract_x
_atom_site_fract_y
_atom_site_fract_z
Tb1 Tb 0.0000 0.5000 0.2332
Nb1 Nb 0.0000 0.0000 0.5000
Ge1 Ge 0.0000 0.5000 0.8634
Ge2 Ge 0.5000 0.5000 0.5000
Pt1 Pt 0.0000 0.0000 0.0000
Pt2 Pt 0.0000 0.5000 0.6410
Pt3 Pt 0.5000 0.5000 0.0000
# E   -6.59 eV per atom
# Energy of formation from the pure elements   -82.9 kJ/mol of atoms

# HfSc2Mn (PBE-GGA, optimized geometry)
data_HfSc2Mn
_chemical_formula_sum 'Hf4 Sc8 Mn4'
_symmetry_space_group_name_H-M 'I -4 2 d'
_symmetry_Int_Tables_number 122
_symmetry_space_group_name_Hall 'I -4 2bw'
_cell_length_a 7.6585
_cell_length_b 7.6585
_cell_length_c 5.6861
_cell_angle_alpha 90.00
_cell_angle_beta 90.00
_cell_angle_gamma 90.00
loop_
_atom_site_label
_atom_site_type_symbol
_atom_site_fract_x
_atom_site_fract_y
_atom_site_fract_z
Hf1 Hf 0.0000 0.0000 0.0000
Sc1 Sc 0.2015 0.7500 0.6250
Mn1 Mn 0.0000 0.0000 0.5000
# E   -7.51 eV per atom
# Polymorph energy (0 for the lowest one)   0.324 eV/atom
# Energy of formation from the pure elements   42.3 kJ/mol of atoms

# VP2ICl (PBE-GGA, optimized geometry)
data_VP2ICl
_chemical_formula_sum 'V1 P2 I1 Cl1'
_symmetry_space_group_name_H-M 'P 4/m m m'
_symmetry_Int_Tables_number 123
_symmetry_space_group_name_Hall '-P 4 2'
_cell_length_a 4.7414
_cell_length_b 4.7414
_cell_length_c 4.6237
_cell_angle_alpha 90.00
_cell_angle_beta 90.00
_cell_angle_gamma 90.00
loop_
_atom_site_label
_atom_site_type_symbol
_atom_site_fract_x
_atom_site_fract_y
_atom_site_fract_z
V1 V 0.0000 0.0000 0.0000
P1 P 0.0000 0.5000 0.0000
I1 I 0.5000 0.5000 0.5000
Cl1 Cl 0.0000 0.0000 0.5000
# E_form (uncorrected)   0.154 eV/atom
# E   -4.51 eV per atom
# Polymorph energy (0 for the lowest one)   0.000 eV/atom

# KLi2Mg (PBE-GGA, optimized geometry)
data_KLi2Mg
_chemical_formula_sum 'K2 Li4 Mg2'
_symmetry_space_group_name_H-M 'C 1 m 1'
_symmetry_Int_Tables_number 8
_symmetry_space_group_name_Hall 'C -2y'
_cell_length_a 11.7016
_cell_length_b 3.3919
_cell_length_c 6.2396
_cell_angle_alpha 90.00
_cell_angle_beta 104.48
_cell_angle_gamma 90.00
loop_
_atom_site_label
_atom_site_type_symbol
_atom_site_fract_x
_atom_site_fract_y
_atom_site_fract_z
K1 K 0.0000 0.0000 0.0000
Li1 Li 0.0121 0.5000 0.4966
Li2 Li 0.2282 0.0000 0.7278
Mg1 Mg 0.2804 0.5000 0.3509
# E   -1.47 eV per atom
# Energy of formation from the pure elements   15.1 kJ/mol of atoms

# PmSnO (PBE-GGA, optimized geometry)
data_PmSnO
_chemical_formula_sum 'Pm6 Sn6 O6'
_symmetry_space_group_name_H-M 'R -3 m'
_symmetry_Int_Tables_number 166
_symmetry_space_group_name_Hall '-R 3 2"'
_cell_length_a 3.8802
_cell_length_b 3.8802
_cell_length_c 31.4066
_cell_angle_alpha 90.00
_cell_angle_beta 90.00
_cell_angle_gamma 120.00
loop_
_atom_site_label
_atom_site_type_symbol
_atom_site_fract_x
_atom_site_fract_y
_atom_site_fract_z
Pm1 Pm 0.0000 0.0000 0.1186
Sn1 Sn 0.0000 0.0000 0.3662
O1 O 0.0000 0.0000 0.1960
# E_form (uncorrected)   -1.967 eV/atom
# E   -6.54 eV per atom
# Polymorph energy (0 for the lowest one)   0.000 eV/atom

# Zr2PdPt6 (PBE-GGA, optimized geometry)
data_Zr2PdPt6
_chemical_formula_sum 'Zr4 Pd2 Pt12'
_symmetry_space_group_name_H-M 'C 1 2/m 1'
_symmetry_Int_Tables_number 12
_symmetry_space_group_name_Hall '-C 2y'
_cell_length_a 12.2900
_cell_length_b 3.9891
_cell_length_c 6.4548
_cell_angle_alpha 90.00
_cell_angle_beta 108.55
_cell_angle_gamma 90.00
loop_
_atom_site_label
_atom_site_type_symbol
_atom_site_fract_x
_atom_site_fract_y
_atom_site_fract_z
Zr1 Zr 0.0600 0.0000 0.3206
Pd1 Pd 0.0000 0.5000 0.0000
Pt1 Pt 0.1054 0.5000 0.6661
Pt2 Pt 0.1705 0.0000 0.0081
Pt3 Pt 0.2214 0.5000 0.3369
# E   -7.29 eV per atom
# Polymorph energy (0 for the lowest one)   0.000 eV/atom
# Energy of formation from the pure elements   -76.3 kJ/mol of atoms

Which of these has the lowest E?
HfSc2Mn

Repeat the second record exactly.
# LiInPdW2 (PBE-GGA, optimized geometry)
data_LiInPdW2
_chemical_formula_sum 'Li1 In1 Pd1 W2'
_symmetry_space_group_name_H-M 'P 4/m m m'
_symmetry_Int_Tables_number 123
_symmetry_space_group_name_Hall '-P 4 2'
_cell_length_a 4.8276
_cell_length_b 4.8276
_cell_length_c 4.3088
_cell_angle_alpha 90.00
_cell_angle_beta 90.00
_cell_angle_gamma 90.00
loop_
_atom_site_label
_atom_site_type_symbol
_atom_site_fract_x
_atom_site_fract_y
_atom_site_fract_z
Li1 Li 0.0000 0.0000 0.0000
In1 In 0.5000 0.5000 0.0000
Pd1 Pd 0.0000 0.0000 0.5000
W1 W 0.0000 0.5000 0.5000
# E   -5.74 eV per atom
# Energy of formation from the pure elements   136.0 kJ/mol of atoms

Number 3 is which compound?
Tb2NbGe3Pt4

Number 6 is which compound?
KLi2Mg